No. 1
First-principles (PBE-GGA) data for a geometry-optimized Er8Ir2Pt structure, as listed in the Alexandria database.

The structure belongs to space group C2/m (No. 12); the cell edges are 17.257, 4.850 and 6.814 Å and the angles 90.00°, 107.37° and 90.00°. The distinct sites, in fractional coordinates, are Er at (0.032, 0.000, 0.286), Er at (0.096, 0.500, 0.957), Er at (0.169, 0.500, 0.464), Er at (0.205, 0.000, 0.813), Ir at (0.186, 0.000, 0.204) and Pt at (0.000, 0.500, 0.500).

The excess energy over the best structure of this formula in the dataset comes out at 0.000 eV per atom. The value obtained for the total moment is 0.00 μB per formula unit. The total energy is -6.12 eV per atom. As for the calculated formation energy: -0.6433 eV/atom.

=====

No. 2
First-principles (PBE-GGA) data for a geometry-optimized MgReTc2 structure, as listed in the Alexandria database.

The structure belongs to space group Cmm2 (No. 35); the cell edges are 2.968, 4.524 and 9.190 Å and the angles 90.00°, 90.00° and 90.00°. The distinct sites, in fractional coordinates, are Mg at (0.000, 0.000, 0.000), Re at (0.000, 0.500, 0.739), Tc at (0.000, 0.000, 0.497) and Tc at (0.000, 0.500, 0.258).

The value obtained for the total moment is 0.00 μB per formula unit. The total energy is -8.44 eV per atom. As for the calculated formation energy: 0.2584 eV/atom.

=====

No. 3
First-principles (PBE-GGA) data for a geometry-optimized SmHoTl2S4 structure, as listed in the Alexandria database.

The structure belongs to space group P2/m (No. 10); the cell edges are 7.051, 4.069 and 7.873 Å and the angles 90.00°, 107.33° and 90.00°. The distinct sites, in fractional coordinates, are Sm at (0.000, 0.000, 0.000), Ho at (0.500, 0.500, 0.000), Tl at (0.000, 0.500, 0.500), Tl at (0.500, 0.000, 0.500), S at (0.240, 0.500, 0.201) and S at (0.273, 0.000, 0.802).

The value obtained for the total moment is 0.00 μB per formula unit. The total energy is -5.29 eV per atom. Its uncorrected formation energy is -1477 meV per atom.

=====

No. 4
First-principles (PBE-GGA) data for a geometry-optimized Ba2TlCd4Ge3 structure, as listed in the Alexandria database.

The structure belongs to space group P-4m2 (No. 115); the cell edges are 4.796, 4.796 and 11.803 Å and the angles 90.00°, 90.00° and 90.00°. The distinct sites, in fractional coordinates, are Ba at (0.000, 0.500, 0.243), Tl at (0.000, 0.000, 0.500), Cd at (0.000, 0.000, 0.000), Cd at (0.000, 0.500, 0.640), Cd at (0.500, 0.500, 0.000), Ge at (0.000, 0.500, 0.869) and Ge at (0.500, 0.500, 0.500).

The value obtained for the total moment is 0.00 μB per formula unit. The total energy is -2.68 eV per atom. As for the calculated formation energy: -0.3108 eV/atom.

=====

No. 5
First-principles (PBE-GGA) data for a geometry-optimized Ce5Sb2OsC structure, as listed in the Alexandria database.

The structure belongs to space group P4/mmm (No. 123); the cell edges are 4.666, 4.666 and 11.149 Å and the angles 90.00°, 90.00° and 90.00°. The distinct sites, in fractional coordinates, are Ce at (0.000, 0.000, 0.000), Ce at (0.000, 0.500, 0.500), Ce at (0.500, 0.500, 0.230), Sb at (0.000, 0.000, 0.290), Os at (0.500, 0.500, 0.000) and C at (0.500, 0.500, 0.500).

The value obtained for the total moment is 3.37 μB per formula unit. The total energy is -6.93 eV per atom. Its uncorrected formation energy is -445 meV per atom.

=====

No. 6
First-principles (PBE-GGA) data for a geometry-optimized Tl2HgMo structure, as listed in the Alexandria database.

The structure belongs to space group Pmm2 (No. 25); the cell edges are 3.195, 4.389 and 6.426 Å and the angles 90.00°, 90.00° and 90.00°. The distinct sites, in fractional coordinates, are Tl at (0.000, 0.000, 0.000), Tl at (0.500, 0.500, 0.292), Hg at (0.000, 0.000, 0.551) and Mo at (0.500, 0.500, 0.773).

The excess energy over the best structure of this formula in the dataset comes out at 0.147 eV per atom. The value obtained for the total moment is 0.48 μB per formula unit. The total energy is -3.27 eV per atom. As for the calculated formation energy: 0.6966 eV/atom.